Compound: HfIn2Ir
Source: Alexandria
Functional: PBE
Structure: optimized geometry

Structure (CIF):
```
data_HfIn2Ir
_space_group_name_H-M_alt 'F m -3 m'
_space_group_IT_number 225
_space_group_name_Hall '-F 4 2 3'
_cell_length_a 6.758
_cell_length_b 6.758
_cell_length_c 6.758
_cell_angle_alpha 90.00
_cell_angle_beta 90.00
_cell_angle_gamma 90.00
loop_
_atom_site_label
_atom_site_type_symbol
_atom_site_fract_x
_atom_site_fract_y
_atom_site_fract_z
Hf1 Hf 0.000 0.000 0.000
In1 In 0.250 0.250 0.250
Ir1 Ir 0.000 0.000 0.500
```

## Properties
- D(E_F) (states/eV/atom) = 1.6123
- E_tot (eV/cell) = -96.8
- E_form (eV per atom) = 0.02


Compound: La4TbPm2Sm
Source: Alexandria
Functional: PBE
Structure: optimized geometry

Structure (CIF):
```
data_La4TbPm2Sm
_space_group_name_H-M_alt 'P 1 2/m 1'
_space_group_IT_number 10
_cell_length_a 5.233
_cell_length_b 5.270
_cell_length_c 10.233
_cell_angle_alpha 90.00
_cell_angle_beta 90.08
_cell_angle_gamma 90.00
loop_
_space_group_symop_operation_xyz
'x,y,z'
'-x,-y,-z'
'-x,y,-z'
'x,-y,z'
loop_
_atom_site_label
_atom_site_type_symbol
_atom_site_fract_x
_atom_site_fract_y
_atom_site_fract_z
La1 La 0.000 0.000 0.249
La2 La 0.499 0.500 0.751
Tb1 Tb 0.500 0.000 0.000
Pm1 Pm 0.000 0.500 0.000
Pm2 Pm 0.500 0.000 0.500
Sm1 Sm 0.000 0.500 0.500
```

## Properties
- D(E_F) (states/eV/atom) = 1.5365
- E_tot (eV/cell) = -38.4
- E_form (eV per atom) = 0.02


Compound: TaSbPd
Source: Alexandria
Functional: PBE
Structure: optimized geometry

Structure (CIF):
```
data_TaSbPd
_space_group_name_H-M_alt 'A m m 2'
_space_group_IT_number 38
_cell_length_a 13.697
_cell_length_b 3.006
_cell_length_c 5.604
_cell_angle_alpha 90.00
_cell_angle_beta 90.00
_cell_angle_gamma 90.00
loop_
_space_group_symop_operation_xyz
'x,y,z'
'-x,-y,z'
'-x,y,z'
'x,-y,z'
'x,y+1/2,z+1/2'
'-x,-y+1/2,z+1/2'
'-x,y+1/2,z+1/2'
'x,-y+1/2,z+1/2'
loop_
_atom_site_label
_atom_site_type_symbol
_atom_site_fract_x
_atom_site_fract_y
_atom_site_fract_z
Ta1 Ta 0.000 0.000 0.000
Ta2 Ta 0.500 0.000 0.017
Sb1 Sb 0.330 0.000 0.697
Pd1 Pd 0.154 0.000 0.315
```

## Properties
- D(E_F) (states/eV/atom) = 0.7923
- E_tot (eV/cell) = -84.6
- uncorrected formation energy (meV/atom) = 8.3


Compound: Ac2AgP
Source: Alexandria
Functional: PBE
Structure: optimized geometry

Structure (CIF):
```
data_Ac2AgP
_space_group_name_H-M_alt 'P 4/m m m'
_space_group_IT_number 123
_space_group_name_Hall '-P 4 2'
_cell_length_a 3.886
_cell_length_b 3.886
_cell_length_c 7.585
_cell_angle_alpha 90.00
_cell_angle_beta 90.00
_cell_angle_gamma 90.00
loop_
_atom_site_label
_atom_site_type_symbol
_atom_site_fract_x
_atom_site_fract_y
_atom_site_fract_z
Ac1 Ac 0.000 0.000 0.229
Ag1 Ag 0.500 0.500 0.500
P1 P 0.500 0.500 0.000
```

## Properties
- D(E_F) (states/eV/atom) = 0.6995
- excess energy over the best structure of this formula in the dataset (meV per atom) = 90
- E_tot (eV/cell) = -19.2
- E_form (eV per atom) = -0.67


- Look up the D(E_F) of the first one.
  1.6123 states/eV/atom


- D(E_F) of number 1 (HfIn2Ir)?
  1.6123 states/eV/atom